1.
Computed, not measured: a geometry-optimized TiBe4Re structure at the GGA-PBE level of DFT.

Computed properties:
E_form ... -0.41 eV per atom
Calculated volume ... 10.3 Å³ per atom
Magnetic moment ... 0.00 μB/f.u.
SG ... F-43m, No. 216
Energy ... -6.28 eV per atom

```
TiBe4Re
1.0
4.437 0.000 0.000
2.218 3.842 0.000
2.218 1.281 3.623
Be Ti Re
4 1 1
Direct
0.627 0.627 0.120 Be
0.120 0.627 0.627 Be
0.627 0.627 0.627 Be
0.627 0.120 0.627 Be
0.250 0.250 0.250 Ti
0.000 0.000 0.000 Re
```


2.
Computed, not measured: a geometry-optimized BaCdGe2Pd structure at the GGA-PBE level of DFT.

Computed properties:
E_form ... -0.04 eV per atom
Calculated volume ... 29.0 Å³ per atom
Magnetic moment ... 0.00 μB/f.u.
SG ... P4/mmm, No. 123
Energy above the most stable polymorph in this dataset ... 0.4340 eV per atom
Energy ... -3.49 eV per atom

```
BaCdGe2Pd
1.0
-2.390 -4.105 1.370
5.134 -2.401 1.764
-0.666 1.895 4.517
Pd Cd Ge Ba
1 1 2 1
Direct
0.000 0.000 0.000 Pd
0.500 0.500 0.500 Cd
0.500 0.000 0.000 Ge
0.000 0.000 0.500 Ge
0.000 0.500 0.000 Ba
```


3.
Computed, not measured: a geometry-optimized CsCd2GaB structure at the GGA-PBE level of DFT.

Computed properties:
E_form ... 0.58 eV per atom
Calculated volume ... 28.9 Å³ per atom
Magnetic moment ... 0.00 μB/f.u.
SG ... P4/mmm, No. 123
Energy ... -1.90 eV per atom

```
CsCd2GaB
1.0
6.026 0.000 0.000
0.000 3.984 0.000
0.000 0.000 6.026
B Ga Cd Cs
1 1 2 1
Direct
0.000 0.500 0.000 B
0.000 0.000 0.000 Ga
0.500 0.000 0.000 Cd
0.000 0.000 0.500 Cd
0.500 0.500 0.500 Cs
```


4.
Computed, not measured: a geometry-optimized CdTcP3 structure at the GGA-PBE level of DFT.

Computed properties:
E_form ... 0.49 eV per atom
Calculated volume ... 20.3 Å³ per atom
Magnetic moment ... 0.00 μB/f.u.
SG ... Pm-3m, No. 221
Energy above the most stable polymorph in this dataset ... 0.0000 eV per atom
Energy ... -5.02 eV per atom

```
CdTcP3
1.0
4.665 0.000 0.000
0.000 4.665 0.000
0.000 0.000 4.665
P Cd Tc
3 1 1
Direct
0.500 0.000 0.000 P
0.000 0.500 0.000 P
0.000 0.000 0.500 P
0.500 0.500 0.500 Cd
0.000 0.000 0.000 Tc
```


5.
Computed, not measured: a geometry-optimized ZrPdOF2 structure at the GGA-PBE level of DFT.

Computed properties:
Calculated volume ... 14.5 Å³ per atom
E_form (uncorrected) ... -351 kJ/mol of formula units
Magnetic moment ... 0.02 μB/f.u.
SG ... P4/mmm, No. 123
Energy above the most stable polymorph in this dataset ... 1.4252 eV per atom
Energy ... -5.22 eV per atom

```
ZrPdOF2
1.0
4.237 0.000 0.000
0.000 4.237 0.000
0.000 0.000 4.033
Zr O F Pd
1 1 2 1
Direct
0.500 0.500 0.500 Zr
0.000 0.000 0.500 O
0.000 0.500 0.000 F
0.500 0.000 0.000 F
0.000 0.000 0.000 Pd
```


6.
Computed, not measured: a geometry-optimized TlNiPCl2 structure at the GGA-PBE level of DFT.

Computed properties:
Calculated volume ... 29.4 Å³ per atom
E_form (uncorrected) ... 416 kJ/mol of formula units
Magnetic moment ... 1.28 μB/f.u.
SG ... P4/mmm, No. 123
Energy above the most stable polymorph in this dataset ... 1.0077 eV per atom
Energy ... -2.59 eV per atom

```
TlNiPCl2
1.0
5.255 0.000 0.000
0.000 5.255 0.000
0.000 0.000 5.332
Tl Cl Ni P
1 2 1 1
Direct
0.000 0.000 0.000 Tl
0.000 0.500 0.000 Cl
0.500 0.000 0.000 Cl
0.500 0.500 0.500 Ni
0.000 0.000 0.500 P
```


7.
Computed, not measured: a geometry-optimized CeNi4Ge structure at the GGA-PBE level of DFT.

Computed properties:
E_form ... -0.32 eV per atom
Calculated volume ... 14.6 Å³ per atom
Magnetic moment ... 0.00 μB/f.u.
SG ... Pmma, No. 51
Energy above the most stable polymorph in this dataset ... 0.0318 eV per atom
Energy ... -5.94 eV per atom

```
CeNi4Ge
1.0
3.745 0.000 0.000
0.000 6.670 0.000
0.000 0.000 7.023
Ce Ge Ni
2 2 8
Direct
0.000 0.651 0.750 Ce
0.000 0.349 0.250 Ce
0.000 0.778 0.250 Ge
0.000 0.222 0.750 Ge
0.500 0.290 0.542 Ni
0.500 0.964 0.750 Ni
0.000 0.000 0.000 Ni
0.500 0.710 0.458 Ni
0.000 0.000 0.500 Ni
0.500 0.710 0.042 Ni
0.500 0.036 0.250 Ni
0.500 0.290 0.958 Ni
```


8.
Computed, not measured: a geometry-optimized Si2HgBr structure at the GGA-PBE level of DFT.

Computed properties:
Calculated volume ... 21.4 Å³ per atom
E_form (uncorrected) ... 271 kJ/mol of formula units
Magnetic moment ... 0.00 μB/f.u.
SG ... I-4m2, No. 119
Energy above the most stable polymorph in this dataset ... 0.5536 eV per atom
Energy ... -2.50 eV per atom

```
Si2HgBr
1.0
4.967 -0.024 0.000
0.126 4.965 0.000
-2.546 -2.471 3.476
Br Hg Si
1 1 2
Direct
0.500 0.500 0.000 Br
0.750 0.250 0.500 Hg
0.000 0.000 0.000 Si
0.250 0.750 0.500 Si
```


9.
Computed, not measured: a geometry-optimized CuTc structure at the GGA-PBE level of DFT.

Computed properties:
E_form ... 0.46 eV per atom
Calculated volume ... 13.2 Å³ per atom
Magnetic moment ... 0.00 μB/f.u.
SG ... Pm-3m, No. 221
Energy above the most stable polymorph in this dataset ... 0.3621 eV per atom
Energy ... -6.78 eV per atom

```
CuTc
1.0
-0.607 1.233 -2.645
0.596 -2.592 -1.345
-2.857 -0.803 0.281
Cu Tc
1 1
Direct
0.000 0.000 0.000 Cu
0.500 0.500 0.500 Tc
```


10.
Computed, not measured: a geometry-optimized Mg2ZnSb structure at the GGA-PBE level of DFT.

Computed properties:
Calculated volume ... 21.9 Å³ per atom
E_form (uncorrected) ... -36 kJ/mol of formula units
Magnetic moment ... 0.00 μB/f.u.
SG ... Cm, No. 8
Energy above the most stable polymorph in this dataset ... 0.0478 eV per atom
Energy ... -2.24 eV per atom

```
Mg2ZnSb
1.0
-4.060 -4.761 -0.952
-1.279 -6.183 -0.434
-0.896 -0.139 4.423
Mg Zn Sb
2 1 1
Direct
0.710 0.710 0.625 Mg
0.059 0.059 0.125 Mg
0.285 0.285 0.125 Zn
0.446 0.446 0.625 Sb
```


11.
Computed, not measured: a geometry-optimized FeReMo2 structure at the GGA-PBE level of DFT.

Computed properties:
E_form ... 0.12 eV per atom
Calculated volume ... 14.7 Å³ per atom
Magnetic moment ... 2.28 μB/f.u.
SG ... P4mm, No. 99
Energy above the most stable polymorph in this dataset ... 0.0341 eV per atom
Energy ... -10.52 eV per atom

```
FeReMo2
1.0
-2.835 -0.348 1.277
1.290 -1.404 2.481
0.568 5.310 2.708
Mo Fe Re
2 1 1
Direct
0.500 0.500 0.255 Mo
0.000 0.000 0.984 Mo
0.500 0.500 0.753 Fe
0.000 0.000 0.509 Re
```


12.
Computed, not measured: a geometry-optimized AgPd structure at the GGA-PBE level of DFT.

Computed properties:
E_form ... 0.19 eV per atom
Calculated volume ... 18.3 Å³ per atom
Magnetic moment ... 0.00 μB/f.u.
SG ... P6_3/m, No. 176
Energy ... -3.83 eV per atom

```
AgPd
1.0
-4.918 5.264 -1.893
0.758 -1.994 7.136
3.214 3.201 0.553
Ag Pd
6 6
Direct
0.811 0.743 0.250 Ag
0.189 0.257 0.750 Ag
0.068 0.811 0.750 Ag
0.743 0.932 0.750 Ag
0.932 0.189 0.250 Ag
0.257 0.068 0.250 Ag
0.610 0.508 0.750 Pd
0.898 0.390 0.750 Pd
0.508 0.898 0.250 Pd
0.102 0.610 0.250 Pd
0.390 0.492 0.250 Pd
0.492 0.102 0.750 Pd
```


What is the magnetic moment in the sixth record?
1.28 μB/f.u.